# 1
This record from Alexandria via LeMat-Bulk describes a crystal of ZnNiAs3 relaxed with PBEsol. The functional is meta-GGA SCAN.

The space group is Pm-3m (No. 221) and the conventional cell measures 4.5715, 4.5715 and 4.5715 Å, with angles of 90.00, 90.00 and 90.00 degrees. The inequivalent atoms are Zn at (0.0000, 0.0000, 0.0000), Ni at (0.5000, 0.5000, 0.5000) and As at (0.0000, 0.5000, 0.5000).

As for the final energy: -87.6 eV for the cell shown.

***

# 2
This record from Alexandria via LeMat-Bulk describes a crystal of Al2SiPd2 relaxed with PBEsol. The functional is meta-GGA SCAN.

The space group is P4/mbm (No. 127) and the conventional cell measures 7.2810, 7.2810 and 2.8116 Å, with angles of 90.00, 90.00 and 90.00 degrees. The inequivalent atoms are Al at (0.1558, 0.3442, 0.0000), Si at (0.0000, 0.0000, 0.5000) and Pd at (0.1416, 0.6416, 0.5000).

As for the final energy: -187.7 eV for the cell shown. Its raw formation energy is -0.557 eV/atom. Its energy above the most stable polymorph in this dataset is 0.0 meV/atom.

***

# 3
This record from Alexandria via LeMat-Bulk describes a crystal of HfCo2NCl relaxed with PBEsol. The functional is meta-GGA SCAN.

The space group is P4/mmm (No. 123) and the conventional cell measures 3.5186, 3.5186 and 5.2873 Å, with angles of 90.00, 90.00 and 90.00 degrees. The inequivalent atoms are Hf at (0.0000, 0.0000, 0.0000), Co at (0.0000, 0.5000, 0.5000), N at (0.5000, 0.5000, 0.5000) and Cl at (0.5000, 0.5000, 0.0000).

As for the final energy: -114.2 eV for the cell shown. Its raw formation energy is 0.066 eV/atom.

***

# 4
This record from Alexandria via LeMat-Bulk describes a crystal of HfGeIN2 relaxed with PBEsol. The functional is meta-GGA SCAN.

The space group is P4/mmm (No. 123) and the conventional cell measures 3.9809, 3.9809 and 5.1051 Å, with angles of 90.00, 90.00 and 90.00 degrees. The inequivalent atoms are Hf at (0.0000, 0.0000, 0.0000), Ge at (0.5000, 0.5000, 0.5000), I at (0.5000, 0.5000, 0.0000) and N at (0.0000, 0.5000, 0.5000).

As for the final energy: -130.1 eV for the cell shown. Its raw formation energy is 1.400 eV/atom.

***

# 5
This record from Alexandria via LeMat-Bulk describes a crystal of BaAlTe2N relaxed with PBEsol. The functional is meta-GGA SCAN.

The space group is P4/mmm (No. 123) and the conventional cell measures 6.4600, 6.4600 and 4.6632 Å, with angles of 90.00, 90.00 and 90.00 degrees. The inequivalent atoms are Ba at (0.0000, 0.0000, 0.0000), Al at (0.5000, 0.5000, 0.5000), Te at (0.0000, 0.5000, 0.0000) and N at (0.0000, 0.0000, 0.5000).

As for the final energy: -126.2 eV for the cell shown. Its raw formation energy is 0.969 eV/atom.

***

# 6
This record from Alexandria via LeMat-Bulk describes a crystal of TiIBrN2 relaxed with PBEsol. The functional is meta-GGA SCAN.

The space group is P4/mmm (No. 123) and the conventional cell measures 3.9666, 3.9666 and 5.9504 Å, with angles of 90.00, 90.00 and 90.00 degrees. The inequivalent atoms are Ti at (0.0000, 0.0000, 0.0000), I at (0.0000, 0.0000, 0.5000), Br at (0.5000, 0.5000, 0.5000) and N at (0.0000, 0.5000, 0.0000).

As for the final energy: -88.3 eV for the cell shown. Its raw formation energy is 0.501 eV/atom. Its energy above the most stable polymorph in this dataset is 0.0 meV/atom.

***

# 7
This record from Alexandria via LeMat-Bulk describes a crystal of HfFe3Au relaxed with PBEsol. The functional is meta-GGA SCAN.

The space group is Pm-3m (No. 221) and the conventional cell measures 4.5877, 4.5877 and 4.5877 Å, with angles of 90.00, 90.00 and 90.00 degrees. The inequivalent atoms are Hf at (0.0000, 0.0000, 0.0000), Fe at (0.0000, 0.5000, 0.5000) and Au at (0.5000, 0.5000, 0.5000).

As for the final energy: -181.4 eV for the cell shown.

***

# 8
This record from Alexandria via LeMat-Bulk describes a crystal of ThGa3 relaxed with PBEsol. The functional is meta-GGA SCAN.

The space group is P6_3/mmc (No. 194) and the conventional cell measures 6.4167, 6.4167 and 4.4842 Å, with angles of 90.00, 90.00 and 120.00 degrees. The inequivalent atoms are Th at (0.3333, 0.6667, 0.2500) and Ga at (0.1425, 0.2849, 0.7500).

As for the final energy: -294.5 eV for the cell shown.